Record 1
Computed, not measured: CsTlAs5 after structural relaxation at the PBE level of DFT.

The calculation puts the total energy at -3.822 eV/atom.

The space group is C2/c (No. 15) and the conventional cell measures 4.913, 13.390 and 12.770 Å, with angles of 90.00, 96.83 and 90.00 degrees. Symmetry generates all atoms from Cs at (0.000, 0.006, 0.250), Tl at (0.000, 0.500, 0.000), As at (0.000, 0.301, 0.750), As at (0.081, 0.187, 0.032) and As at (0.223, 0.298, 0.367).

***

Record 2
Computed, not measured: Cr2InAu after structural relaxation at the PBE level of DFT.

The calculation puts the total energy at -6.014 eV/atom.

The space group is Cmmm (No. 65) and the conventional cell measures 6.284, 7.022 and 3.215 Å, with angles of 90.00, 90.00 and 90.00 degrees. Symmetry generates all atoms from Cr at (0.250, 0.250, 0.000), In at (0.000, 0.000, 0.500) and Au at (0.000, 0.500, 0.500).

***

Record 3
Computed, not measured: Zr2CdCl after structural relaxation at the PBE level of DFT.

For the energy relative to the elements, uncorrected, the calculation gives -0.292 eV/atom.

The space group is P4/mmm (No. 123) and the conventional cell measures 3.170, 3.170 and 7.861 Å, with angles of 90.00, 90.00 and 90.00 degrees. Symmetry generates all atoms from Zr at (0.000, 0.000, 0.226), Cd at (0.500, 0.500, 0.500) and Cl at (0.500, 0.500, 0.000).

***

Record 4
Computed, not measured: Ce4H2CO after structural relaxation at the PBE level of DFT.

The calculation puts the total energy at -6.541 eV/atom.

The space group is P2/m (No. 10) and the conventional cell measures 6.073, 3.534 and 6.355 Å, with angles of 90.00, 108.60 and 90.00 degrees. Symmetry generates all atoms from Ce at (0.245, 0.000, 0.234), Ce at (0.255, 0.500, 0.757), H at (0.000, 0.000, 0.500), H at (0.500, 0.500, 0.500), C at (0.500, 0.000, 0.000) and O at (0.000, 0.500, 0.000).

***

Record 5
Computed, not measured: TbEuTl2 after structural relaxation at the PBE level of DFT.

The calculation puts the total energy at -5.273 eV/atom.

The space group is Fm-3m (No. 225) and the conventional cell measures 7.781, 7.781 and 7.781 Å, with angles of 90.00, 90.00 and 90.00 degrees. Symmetry generates all atoms from Tb at (0.000, 0.000, 0.000), Eu at (0.000, 0.000, 0.500) and Tl at (0.250, 0.250, 0.250).

***

Record 6
Computed, not measured: LiY2H2 after structural relaxation at the PBE level of DFT.

The calculation puts the total energy at -4.332 eV/atom.

The space group is P4/mbm (No. 127) and the conventional cell measures 6.788, 6.788 and 3.412 Å, with angles of 90.00, 90.00 and 90.00 degrees. Symmetry generates all atoms from Li at (0.000, 0.000, 0.000), Y at (0.178, 0.322, 0.500) and H at (0.137, 0.637, 0.000).

***

Record 7
Computed, not measured: PuZrSbPd after structural relaxation at the PBE level of DFT.

For the energy relative to the elements, uncorrected, the calculation gives -0.435 eV/atom.

The space group is F-43m (No. 216) and the conventional cell measures 7.136, 7.136 and 7.136 Å, with angles of 90.00, 90.00 and 90.00 degrees. Symmetry generates all atoms from Pu at (0.000, 0.000, 0.000), Zr at (0.000, 0.000, 0.500), Sb at (0.250, 0.250, 0.250) and Pd at (0.250, 0.250, 0.750).

***

Record 8
Computed, not measured: La5Tb4 after structural relaxation at the PBE level of DFT.

The calculation puts the total energy at -4.772 eV/atom.

The space group is I4/mmm (No. 139) and the conventional cell measures 10.952, 10.952 and 5.206 Å, with angles of 90.00, 90.00 and 90.00 degrees. Symmetry generates all atoms from La at (0.000, 0.000, 0.000), La at (0.000, 0.331, 0.000) and Tb at (0.166, 0.166, 0.500).